(1)
Here is a geometry-optimized Zn3AgW structure from Alexandria. Energies are from PBE-GGA.

Lattice parameters (Å, degrees): 4.918 4.918 4.918 90.00 90.00 90.00
Atoms (fractional coordinates):
Zn: 0.000 0.000 0.500
Zn: 0.000 0.500 0.000
Zn: 0.500 0.000 0.000
Ag: 0.500 0.500 0.500
W: 0.000 0.000 0.000

## Properties
The value obtained for the total energy is -13.6 eV per formula unit. The value obtained for the magnetic moment is 0.39 μB/f.u. As for the crystal system: cubic. The calculation puts the energy of formation at 117 kJ per mole of atoms. For the energy above the most stable polymorph in this dataset, the calculation gives 0.0 meV per atom.

(2)
Here is a geometry-optimized Zn2AgW structure from Alexandria. Energies are from PBE-GGA.

Lattice parameters (Å, degrees): 4.447 4.447 4.447 60.00 60.00 60.00
Atoms (fractional coordinates):
Zn: 0.250 0.250 0.250
Zn: 0.750 0.750 0.750
Ag: 0.000 0.000 0.000
W: 0.500 0.500 0.500

## Properties
The value obtained for the total energy is -16.1 eV per formula unit. The value obtained for the magnetic moment is 1.18 μB/f.u. As for the crystal system: cubic. The calculation puts the energy of formation at 53 kJ per mole of atoms. For the energy above the most stable polymorph in this dataset, the calculation gives 415.1 meV per atom.

(3)
Here is a geometry-optimized Zn2AgW structure from Alexandria. Energies are from PBE-GGA.

Lattice parameters (Å, degrees): 5.024 5.024 5.024 134.82 134.82 65.81
Atoms (fractional coordinates):
Zn: 0.000 0.000 0.000
Zn: 0.750 0.250 0.500
Ag: 0.250 0.750 0.500
W: 0.500 0.500 0.000

## Properties
The value obtained for the total energy is -16.1 eV per formula unit. The value obtained for the magnetic moment is 0.47 μB/f.u. As for the crystal system: tetragonal. The calculation puts the energy of formation at 54 kJ per mole of atoms. For the energy above the most stable polymorph in this dataset, the calculation gives 422.5 meV per atom.

(4)
Here is a geometry-optimized Zn2AgW structure from Alexandria. Energies are from PBE-GGA.

Lattice parameters (Å, degrees): 2.692 4.399 5.411 90.00 103.97 90.00
Atoms (fractional coordinates):
Zn: 0.000 0.000 0.000
Zn: 0.141 0.500 0.286
Ag: 0.750 0.000 0.496
W: 0.407 0.500 0.811

## Properties
The value obtained for the total energy is -17.0 eV per formula unit. The value obtained for the magnetic moment is 0.00 μB/f.u. As for the crystal system: monoclinic. The calculation puts the energy of formation at 32 kJ per mole of atoms. For the energy above the most stable polymorph in this dataset, the calculation gives 193.2 meV per atom.

(5)
Here is a geometry-optimized Zn2AgW2 structure from Alexandria. Energies are from PBE-GGA.

Lattice parameters (Å, degrees): 7.011 7.011 7.011 150.04 150.04 42.88
Atoms (fractional coordinates):
Zn: 0.250 0.750 0.500
Zn: 0.750 0.250 0.500
Ag: 0.000 0.000 0.000
W: 0.408 0.408 0.000
W: 0.592 0.592 0.000

## Properties
The value obtained for the total energy is -26.7 eV per formula unit. The value obtained for the magnetic moment is 0.00 μB/f.u. As for the crystal system: tetragonal. The calculation puts the energy of formation at 88 kJ per mole of atoms. For the energy above the most stable polymorph in this dataset, the calculation gives 313.7 meV per atom.

(6)
Here is a geometry-optimized Zn2AgW structure from Alexandria. Energies are from PBE-GGA.

Lattice parameters (Å, degrees): 4.691 4.691 5.252 98.51 98.51 34.02
Atoms (fractional coordinates):
Zn: 0.250 0.250 0.233
Zn: 0.750 0.750 0.767
Ag: 0.000 0.000 0.500
W: 0.500 0.500 0.000

## Properties
The value obtained for the total energy is -16.8 eV per formula unit. The value obtained for the magnetic moment is 0.13 μB/f.u. As for the crystal system: monoclinic. The calculation puts the energy of formation at 39 kJ per mole of atoms. For the energy above the most stable polymorph in this dataset, the calculation gives 260.0 meV per atom.

(7)
Here is a geometry-optimized ZnAg2W structure from Alexandria. Energies are from PBE-GGA.

Lattice parameters (Å, degrees): 2.768 2.768 8.515 90.00 90.00 90.22
Atoms (fractional coordinates):
Zn: 0.000 0.000 0.000
Ag: 0.000 0.000 0.509
Ag: 0.500 0.500 0.243
W: 0.500 0.500 0.767

## Properties
The value obtained for the total energy is -18.8 eV per formula unit. The value obtained for the magnetic moment is 0.00 μB/f.u. As for the crystal system: orthorhombic. The calculation puts the energy of formation at 26 kJ per mole of atoms.

(8)
Here is a geometry-optimized Zn2AgW structure from Alexandria. Energies are from PBE-GGA.

Lattice parameters (Å, degrees): 2.672 4.273 5.638 90.00 99.33 90.00
Atoms (fractional coordinates):
Zn: 0.140 0.000 0.228
Zn: 0.860 0.000 0.772
Ag: 0.000 0.500 0.500
W: 0.500 0.500 0.000

## Properties
The value obtained for the total energy is -17.0 eV per formula unit. The value obtained for the magnetic moment is 0.00 μB/f.u. As for the crystal system: monoclinic. The calculation puts the energy of formation at 32 kJ per mole of atoms. For the energy above the most stable polymorph in this dataset, the calculation gives 194.1 meV per atom.

(9)
Here is a geometry-optimized Zn4AgW2 structure from Alexandria. Energies are from PBE-GGA.

Lattice parameters (Å, degrees): 7.276 7.276 7.276 141.02 141.02 56.31
Atoms (fractional coordinates):
Zn: 0.000 0.500 0.500
Zn: 0.201 0.201 0.000
Zn: 0.500 0.000 0.500
Zn: 0.799 0.799 0.000
Ag: 0.000 0.000 0.000
W: 0.410 0.410 0.000
W: 0.590 0.590 0.000

## Properties
The value obtained for the total energy is -26.2 eV per formula unit. The value obtained for the magnetic moment is 0.00 μB/f.u. As for the crystal system: tetragonal. The calculation puts the energy of formation at 105 kJ per mole of atoms.

(10)
Here is a geometry-optimized Zn2AgW structure from Alexandria. Energies are from PBE-GGA.

Lattice parameters (Å, degrees): 2.722 2.722 8.502 90.00 90.00 96.84
Atoms (fractional coordinates):
Zn: 0.000 0.000 0.000
Zn: 0.500 0.500 0.238
Ag: 0.000 0.000 0.487
W: 0.500 0.500 0.757

## Properties
The value obtained for the total energy is -17.4 eV per formula unit. The value obtained for the magnetic moment is 0.00 μB/f.u. As for the crystal system: orthorhombic. The calculation puts the energy of formation at 24 kJ per mole of atoms. For the energy above the most stable polymorph in this dataset, the calculation gives 110.8 meV per atom.

(11)
Here is a geometry-optimized ZnAg2W structure from Alexandria. Energies are from PBE-GGA.

Lattice parameters (Å, degrees): 5.702 5.702 5.702 152.39 129.14 58.84
Atoms (fractional coordinates):
Zn: 0.000 0.000 0.000
Ag: 0.239 0.739 0.500
Ag: 0.761 0.261 0.500
W: 0.500 0.500 0.000

## Properties
The value obtained for the total energy is -17.9 eV per formula unit. The value obtained for the magnetic moment is 0.00 μB/f.u. As for the crystal system: orthorhombic. The calculation puts the energy of formation at 50 kJ per mole of atoms.

(12)
Here is a geometry-optimized Zn2AgW structure from Alexandria. Energies are from PBE-GGA.

Lattice parameters (Å, degrees): 9.507 9.507 9.507 16.96 16.96 16.96
Atoms (fractional coordinates):
Zn: 0.000 0.000 0.000
Zn: 0.251 0.251 0.251
Ag: 0.501 0.501 0.501
W: 0.747 0.747 0.747

## Properties
The value obtained for the total energy is -17.2 eV per formula unit. The value obtained for the magnetic moment is 0.00 μB/f.u. As for the crystal system: trigonal. The calculation puts the energy of formation at 27 kJ per mole of atoms. For the energy above the most stable polymorph in this dataset, the calculation gives 137.2 meV per atom.